# 1
VASP calculation (PBE-GGA) on a relaxed structure of Zr2FeTe.

Cell lengths 4.5685, 4.5685, 3.8009 Å; angles 90.00, 90.00, 90.00 degrees
Fractional coordinates of all 4 atoms:
Zr  0.0000  0.5000  0.0000
Zr  0.5000  0.0000  0.0000
Fe  0.0000  0.0000  0.5000
Te  0.5000  0.5000  0.5000

Calculated values
N(E_F) = 3.15 states/eV per cell
symmetry = P4/mmm, No. 123
total magnetic moment = 2.1 μB/cell
DFT total energy = -7.3781 eV per atom
raw formation energy = -0.203 eV/atom
calculated density = 7.66 Mg/m³

# 2
VASP calculation (PBE-GGA) on a relaxed structure of Zr2FeTe.

Cell lengths 3.5949, 3.5949, 6.2086 Å; angles 90.00, 90.00, 90.00 degrees
Fractional coordinates of all 4 atoms:
Zr  0.0000  0.0000  0.2339
Zr  0.0000  0.0000  0.7661
Fe  0.5000  0.5000  0.0000
Te  0.5000  0.5000  0.5000

Calculated values
N(E_F) = 2.98 states/eV per cell
symmetry = P4/mmm, No. 123
total magnetic moment = 2.0 μB/cell
DFT total energy = -7.4426 eV per atom
raw formation energy = -0.267 eV/atom
calculated density = 7.57 Mg/m³

# 3
VASP calculation (PBE-GGA) on a relaxed structure of ZrFe2Te.

Cell lengths 5.0319, 5.0319, 5.0319 Å; angles 136.51, 128.19, 69.89 degrees
Fractional coordinates of all 4 atoms:
Zr  0.0000  0.0000  0.0000
Fe  0.2516  0.7516  0.5000
Fe  0.7484  0.2484  0.5000
Te  0.5000  0.5000  0.0000

Calculated values
N(E_F) = 4.43 states/eV per cell
symmetry = Immm, No. 71
total magnetic moment = 3.8 μB/cell
DFT total energy = -7.0438 eV per atom
raw formation energy = 0.110 eV/atom
calculated density = 8.12 Mg/m³

# 4
VASP calculation (PBE-GGA) on a relaxed structure of Zr6FeTe2.

Cell lengths 7.8458, 7.8458, 3.6027 Å; angles 90.00, 90.00, 120.00 degrees
Fractional coordinates of all 9 atoms:
Zr  0.0000  0.2398  0.0000
Zr  0.0000  0.5985  0.5000
Zr  0.2398  0.0000  0.0000
Zr  0.4015  0.4015  0.5000
Zr  0.5985  0.0000  0.5000
Zr  0.7602  0.7602  0.0000
Fe  0.0000  0.0000  0.5000
Te  0.3333  0.6667  0.0000
Te  0.6667  0.3333  0.0000

Calculated values
N(E_F) = 10.10 states/eV per cell
symmetry = P-62m, No. 189
total magnetic moment = 0.0 μB/cell
DFT total energy = -7.8628 eV per atom
raw formation energy = -0.526 eV/atom
calculated density = 7.42 Mg/m³

# 5
VASP calculation (PBE-GGA) on a relaxed structure of ZrFe2Te.

Cell lengths 4.5915, 4.5915, 4.5915 Å; angles 60.00, 60.00, 60.00 degrees
Fractional coordinates of all 4 atoms:
Zr  0.0000  0.0000  0.0000
Fe  0.2500  0.2500  0.2500
Fe  0.5000  0.5000  0.5000
Te  0.7500  0.7500  0.7500

Calculated values
N(E_F) = 4.34 states/eV per cell
symmetry = F-43m, No. 216
total magnetic moment = 4.1 μB/cell
DFT total energy = -6.9632 eV per atom
raw formation energy = 0.191 eV/atom
calculated density = 8.02 Mg/m³

# 6
VASP calculation (PBE-GGA) on a relaxed structure of ZrFe4Te.

Cell lengths 5.0144, 5.0144, 5.0144 Å; angles 60.00, 60.00, 60.00 degrees
Fractional coordinates of all 6 atoms:
Zr  0.0000  0.0000  0.0000
Fe  0.1219  0.6260  0.6260
Fe  0.6260  0.1219  0.6260
Fe  0.6260  0.6260  0.1219
Fe  0.6260  0.6260  0.6260
Te  0.2500  0.2500  0.2500

Calculated values
N(E_F) = 4.23 states/eV per cell
symmetry = F-43m, No. 216
total magnetic moment = 8.7 μB/cell
DFT total energy = -7.6313 eV per atom
raw formation energy = -0.041 eV/atom
calculated density = 8.24 Mg/m³

# 7
VASP calculation (PBE-GGA) on a relaxed structure of Zr4FeTe.

Cell lengths 5.7433, 5.7433, 5.7433 Å; angles 60.00, 60.00, 60.00 degrees
Fractional coordinates of all 6 atoms:
Zr  0.1237  0.1237  0.1237
Zr  0.1237  0.1237  0.6288
Zr  0.1237  0.6288  0.1237
Zr  0.6288  0.1237  0.1237
Fe  0.7500  0.7500  0.7500
Te  0.5000  0.5000  0.5000

Calculated values
N(E_F) = 6.62 states/eV per cell
symmetry = F-43m, No. 216
total magnetic moment = 2.1 μB/cell
DFT total energy = -7.1829 eV per atom
raw formation energy = 0.450 eV/atom
calculated density = 6.80 Mg/m³

# 8
VASP calculation (PBE-GGA) on a relaxed structure of Zr2FeTe.

Cell lengths 4.0234, 5.6423, 5.6423 Å; angles 38.85, 90.00, 90.00 degrees
Fractional coordinates of all 4 atoms:
Zr  0.0000  0.0000  0.0000
Zr  0.5000  0.3116  0.3116
Fe  0.5000  0.5538  0.5538
Te  0.0000  0.7181  0.7181

Calculated values
N(E_F) = 3.07 states/eV per cell
symmetry = Amm2, No. 38
total magnetic moment = 1.5 μB/cell
DFT total energy = -7.5259 eV per atom
raw formation energy = -0.351 eV/atom
calculated density = 7.56 Mg/m³

> Look up the calculated density of the fifth one.

8.02 Mg/m³

> Which value of total magnetic moment does entry 4 give?

0.0 μB/cell

What did the first record say?
VASP calculation (PBE-GGA) on a relaxed structure of Zr2FeTe.

Cell lengths 4.5685, 4.5685, 3.8009 Å; angles 90.00, 90.00, 90.00 degrees
Fractional coordinates of all 4 atoms:
Zr  0.0000  0.5000  0.0000
Zr  0.5000  0.0000  0.0000
Fe  0.0000  0.0000  0.5000
Te  0.5000  0.5000  0.5000

Calculated values
N(E_F) = 3.15 states/eV per cell
symmetry = P4/mmm, No. 123
total magnetic moment = 2.1 μB/cell
DFT total energy = -7.3781 eV per atom
raw formation energy = -0.203 eV/atom
calculated density = 7.66 Mg/m³